TaAsBr2: relaxed, PBE-GGA.

abc: 3.2380 4.2866 15.9035
angles: 90.00 90.00 90.00
Closest atoms and distances in Å follow each position.
Space group Immm (No. 71)
Unique sites:
Ta 0.0000 0.0000 0.0000 x2  4 As 2.69, 4 Br 2.79
As 0.0000 0.0000 0.5000 x2  4 Ta 2.69
Br 0.0000 0.5000 0.3569 x4  2 Ta 2.79, 2 As 3.13


TaAs2Br: relaxed, PBE-GGA.

abc: 5.1175 5.1175 2.9483
angles: 90.00 90.00 90.00
Closest atoms and distances in Å follow each position.
Space group P4/mmm (No. 123)
Unique sites:
Ta 0.0000 0.0000 0.0000 x1  2 Ta 2.95, 8 As 2.95
As 0.0000 0.5000 0.5000 x2  2 As 2.95, 4 Ta 2.95, 4 Br 2.95
Br 0.5000 0.5000 0.0000 x1  2 Br 2.95, 8 As 2.95


TaTeAs2Br: relaxed, PBE-GGA.

abc: 5.1419 5.1419 4.9330
angles: 90.00 90.00 90.00
Closest atoms and distances in Å follow each position.
Space group P4/mmm (No. 123)
Unique sites:
Ta 0.0000 0.0000 0.0000 x1  2 Br 2.47, 4 As 2.57
Te 0.5000 0.5000 0.5000 x1  8 As 3.56, 4 Br 3.64
As 0.0000 0.5000 0.0000 x2  2 Ta 2.57
Br 0.0000 0.0000 0.5000 x1  2 Ta 2.47


TaTeAs2Br: relaxed, PBE-GGA.

abc: 5.3157 5.3157 5.2052
angles: 90.00 90.00 90.00
Closest atoms and distances in Å follow each position.
Space group P4/mmm (No. 123)
Unique sites:
Ta 0.0000 0.0000 0.0000 x1  8 As 3.72, 4 Br 3.76
Te 0.5000 0.5000 0.5000 x1  2 Br 2.60, 4 As 2.66
As 0.0000 0.5000 0.5000 x2  2 Te 2.66
Br 0.5000 0.5000 0.0000 x1  2 Te 2.60


TaTeAsBr2: relaxed, PBE-GGA.

abc: 5.5020 5.5020 5.4848
angles: 90.00 90.00 90.00
Closest atoms and distances in Å follow each position.
Space group P4/mmm (No. 123)
Unique sites:
Ta 0.0000 0.0000 0.0000 x1  2 Te 2.74
Te 0.0000 0.0000 0.5000 x1  2 Ta 2.74, 4 Br 2.75
As 0.5000 0.5000 0.0000 x1  8 Br 3.88, 4 Ta 3.89
Br 0.0000 0.5000 0.5000 x2  2 Te 2.75


TaTeAsBr2: relaxed, PBE-GGA.

abc: 5.3332 5.3332 5.7171
angles: 90.00 90.00 90.00
Closest atoms and distances in Å follow each position.
Space group P4/mmm (No. 123)
Unique sites:
Ta 0.0000 0.0000 0.0000 x1  4 As 3.77, 8 Br 3.91
Te 0.5000 0.5000 0.5000 x1  4 Br 2.67, 2 As 2.86
As 0.5000 0.5000 0.0000 x1  2 Te 2.86
Br 0.0000 0.5000 0.5000 x2  2 Te 2.67


It is found that the volume values, taken in the order of the records, are 27.593, 19.303, 26.085, 29.416, 33.208, 32.522 Å³/atom.
It is found that the DFT total energy values, taken in the order of the records, are -5.1440, -5.1043, -4.9038, -3.6538, -3.3230, -3.2237 eV/atom.
It is found that the formation energy (no corrections) values, taken in the order of the records, are -17.56, 58.07, 27.92, 148.54, 123.01, 132.59 kJ/mol of atoms.